# 1
Tb8Er3Th | PBE | relaxed

Lattice parameters (Å, degrees): 9.435 9.435 9.435 131.97 131.97 70.28
Element x y z (fractional)
1 Tb 0.125 0.125 0.499
2 Tb 0.125 0.626 0.000
3 Tb 0.374 0.374 0.499
4 Tb 0.374 0.875 0.000
5 Tb 0.626 0.125 0.000
6 Tb 0.626 0.626 0.501
7 Tb 0.875 0.374 0.000
8 Tb 0.875 0.875 0.501
9 Er 0.250 0.750 0.500
10 Er 0.500 0.500 0.000
11 Er 0.750 0.250 0.500
12 Th 0.000 0.000 0.000

Results
As for the crystal system: tetragonal. The total magnetization comes out at 0.0 μB per cell. As for the space group: I4/mmm. The energy relative to the elements comes out at 17.4 kcal/mol of atoms.



# 2
TbEr2Th | PBE | relaxed

Lattice parameters (Å, degrees): 5.641 5.641 5.641 60.00 60.00 60.00
Element x y z (fractional)
1 Tb 0.000 0.000 0.000
2 Er 0.250 0.250 0.250
3 Er 0.750 0.750 0.750
4 Th 0.500 0.500 0.500

Results
As for the crystal system: cubic. The total magnetization comes out at 0.0 μB per cell. As for the space group: Fm-3m. The energy relative to the elements comes out at 3.1 kcal/mol of atoms. As for the energy relative to the lowest polymorph listed for this composition: 0.143 eV per atom.



# 3
Tb2Er3Th3 | PBE | relaxed

Lattice parameters (Å, degrees): 9.040 9.040 3.606 90.00 90.00 120.00
Element x y z (fractional)
1 Tb 0.333 0.667 0.000
2 Tb 0.667 0.333 0.000
3 Er 0.000 0.396 0.500
4 Er 0.396 0.000 0.500
5 Er 0.604 0.604 0.500
6 Th 0.000 0.772 0.000
7 Th 0.228 0.228 0.000
8 Th 0.772 0.000 0.000

Results
As for the crystal system: hexagonal. The total magnetization comes out at 0.0 μB per cell. As for the space group: P-62m. The energy relative to the elements comes out at 3.3 kcal/mol of atoms. As for the energy relative to the lowest polymorph listed for this composition: 0.105 eV per atom.



# 4
Tb5Er8Th | PBE | relaxed

Lattice parameters (Å, degrees): 8.388 8.388 8.388 110.54 110.54 107.36
Element x y z (fractional)
1 Tb 0.000 0.000 0.000
2 Tb 0.204 0.533 0.900
3 Tb 0.467 0.367 0.671
4 Tb 0.633 0.303 0.100
5 Tb 0.697 0.796 0.329
6 Er 0.162 0.082 0.737
7 Er 0.345 0.425 0.263
8 Er 0.413 0.017 0.257
9 Er 0.575 0.838 0.920
10 Er 0.760 0.156 0.743
11 Er 0.844 0.587 0.603
12 Er 0.918 0.655 0.080
13 Er 0.983 0.240 0.397
14 Th 0.250 0.750 0.500

Results
As for the crystal system: tetragonal. The total magnetization comes out at 1.0 μB per cell. As for the space group: I-4. The energy relative to the elements comes out at 6.6 kcal/mol of atoms.



# 5
Tb12ErTh6 | PBE | relaxed

Lattice parameters (Å, degrees): 8.679 8.679 8.679 97.64 97.64 97.64
Element x y z (fractional)
1 Tb 0.000 0.262 0.738
2 Tb 0.000 0.738 0.262
3 Tb 0.168 0.586 0.586
4 Tb 0.262 0.000 0.738
5 Tb 0.262 0.738 0.000
6 Tb 0.414 0.414 0.832
7 Tb 0.414 0.832 0.414
8 Tb 0.586 0.168 0.586
9 Tb 0.586 0.586 0.168
10 Tb 0.738 0.000 0.262
11 Tb 0.738 0.262 0.000
12 Tb 0.832 0.414 0.414
13 Er 0.000 0.000 0.000
14 Th 0.137 0.137 0.406
15 Th 0.137 0.406 0.137
16 Th 0.406 0.137 0.137
17 Th 0.594 0.863 0.863
18 Th 0.863 0.594 0.863
19 Th 0.863 0.863 0.594

Results
As for the crystal system: trigonal. The total magnetization comes out at 0.0 μB per cell. As for the space group: R-3m. The energy relative to the elements comes out at 3.7 kcal/mol of atoms.



# 6
Tb7ErTh2 | PBE | relaxed

Lattice parameters (Å, degrees): 9.391 9.391 5.510 90.00 90.00 124.73
Element x y z (fractional)
1 Tb 0.000 0.000 0.000
2 Tb 0.214 0.434 0.000
3 Tb 0.291 0.709 0.500
4 Tb 0.434 0.214 0.000
5 Tb 0.566 0.786 0.000
6 Tb 0.709 0.291 0.500
7 Tb 0.786 0.566 0.000
8 Er 0.500 0.500 0.500
9 Th 0.205 0.795 0.000
10 Th 0.795 0.205 0.000

Results
As for the crystal system: orthorhombic. The total magnetization comes out at 0.0 μB per cell. As for the space group: Cmmm. The energy relative to the elements comes out at 17.6 kcal/mol of atoms. As for the energy relative to the lowest polymorph listed for this composition: 0.305 eV per atom.



# 7
Tb5Er4Th2 | PBE | relaxed

Lattice parameters (Å, degrees): 10.935 10.935 10.935 161.83 116.84 66.32
Element x y z (fractional)
1 Tb 0.000 0.000 0.000
2 Tb 0.110 0.323 0.787
3 Tb 0.464 0.677 0.787
4 Tb 0.536 0.323 0.213
5 Tb 0.890 0.677 0.213
6 Er 0.275 0.500 0.775
7 Er 0.410 0.910 0.500
8 Er 0.590 0.090 0.500
9 Er 0.725 0.500 0.225
10 Th 0.206 0.706 0.500
11 Th 0.794 0.294 0.500

Results
As for the crystal system: orthorhombic. The total magnetization comes out at 0.0 μB per cell. As for the space group: Immm. The energy relative to the elements comes out at 5.7 kcal/mol of atoms. As for the energy relative to the lowest polymorph listed for this composition: 0.114 eV per atom.



# 8
Tb2Er7Th2 | PBE | relaxed

Lattice parameters (Å, degrees): 8.022 8.022 5.967 106.32 106.32 91.10
Element x y z (fractional)
1 Tb 0.236 0.236 0.087
2 Tb 0.764 0.764 0.913
3 Er 0.000 0.000 0.500
4 Er 0.060 0.593 0.334
5 Er 0.407 0.940 0.666
6 Er 0.408 0.408 0.694
7 Er 0.592 0.592 0.306
8 Er 0.593 0.060 0.334
9 Er 0.940 0.407 0.666
10 Th 0.213 0.787 0.000
11 Th 0.787 0.213 0.000

Results
As for the crystal system: monoclinic. The total magnetization comes out at 0.0 μB per cell. As for the space group: C2/m. The energy relative to the elements comes out at 4.3 kcal/mol of atoms. As for the energy relative to the lowest polymorph listed for this composition: 0.005 eV per atom.



# 9
TbEr7Th2 | PBE | relaxed

Lattice parameters (Å, degrees): 3.546 9.333 9.954 105.65 90.04 100.89
Element x y z (fractional)
1 Tb 0.000 0.000 0.000
2 Er 0.000 0.000 0.500
3 Er 0.200 0.402 0.604
4 Er 0.398 0.795 0.197
5 Er 0.400 0.799 0.698
6 Er 0.600 0.201 0.302
7 Er 0.602 0.205 0.803
8 Er 0.800 0.598 0.396
9 Th 0.200 0.400 0.100
10 Th 0.800 0.600 0.900

Results
As for the crystal system: triclinic. The total magnetization comes out at 0.0 μB per cell. As for the space group: P-1. The energy relative to the elements comes out at 0.6 kcal/mol of atoms. As for the energy relative to the lowest polymorph listed for this composition: 0.000 eV per atom.



# 10
TbEr2Th3 | PBE | relaxed

Lattice parameters (Å, degrees): 7.596 7.596 6.704 90.08 90.08 95.77
Element x y z (fractional)
1 Tb 0.230 0.770 0.750
2 Tb 0.770 0.230 0.250
3 Er 0.104 0.563 0.250
4 Er 0.437 0.896 0.250
5 Er 0.563 0.104 0.750
6 Er 0.896 0.437 0.750
7 Th 0.167 0.167 0.499
8 Th 0.167 0.167 0.999
9 Th 0.500 0.500 0.000
10 Th 0.500 0.500 0.500
11 Th 0.833 0.833 0.001
12 Th 0.833 0.833 0.501

Results
As for the crystal system: monoclinic. The total magnetization comes out at 0.0 μB per cell. As for the space group: C2/c. The energy relative to the elements comes out at 4.2 kcal/mol of atoms. As for the energy relative to the lowest polymorph listed for this composition: 0.154 eV per atom.



# 11
Tb7Er12Th | PBE | relaxed

Lattice parameters (Å, degrees): 9.669 9.669 9.669 109.47 109.47 109.47
Element x y z (fractional)
1 Tb 0.000 0.000 0.500
2 Tb 0.000 0.500 0.000
3 Tb 0.000 0.500 0.500
4 Tb 0.500 0.000 0.000
5 Tb 0.500 0.000 0.500
6 Tb 0.500 0.500 0.000
7 Tb 0.500 0.500 0.500
8 Er 0.000 0.246 0.754
9 Er 0.000 0.754 0.246
10 Er 0.246 0.000 0.754
11 Er 0.246 0.246 0.491
12 Er 0.246 0.491 0.246
13 Er 0.246 0.754 0.000
14 Er 0.491 0.246 0.246
15 Er 0.509 0.754 0.754
16 Er 0.754 0.000 0.246
17 Er 0.754 0.246 0.000
18 Er 0.754 0.509 0.754
19 Er 0.754 0.754 0.509
20 Th 0.000 0.000 0.000

Results
As for the crystal system: cubic. The total magnetization comes out at 0.0 μB per cell. As for the space group: Im-3m. The energy relative to the elements comes out at 17.3 kcal/mol of atoms. As for the energy relative to the lowest polymorph listed for this composition: 0.508 eV per atom.



# 12
Tb6Er5Th2 | PBE | relaxed

Lattice parameters (Å, degrees): 11.558 20.311 3.567 90.00 90.00 90.00
Element x y z (fractional)
1 Tb 0.070 0.069 0.000
2 Tb 0.071 0.358 0.000
3 Tb 0.181 0.625 0.500
4 Tb 0.319 0.125 0.500
5 Tb 0.429 0.858 0.000
6 Tb 0.430 0.569 0.000
7 Tb 0.570 0.431 0.000
8 Tb 0.571 0.142 0.000
9 Tb 0.681 0.875 0.500
10 Tb 0.819 0.375 0.500
11 Tb 0.929 0.642 0.000
12 Tb 0.930 0.931 0.000
13 Er 0.000 0.500 0.500
14 Er 0.083 0.214 0.500
15 Er 0.195 0.931 0.500
16 Er 0.305 0.431 0.500
17 Er 0.417 0.714 0.500
18 Er 0.500 0.000 0.500
19 Er 0.583 0.286 0.500
20 Er 0.695 0.569 0.500
21 Er 0.805 0.069 0.500
22 Er 0.917 0.786 0.500
23 Th 0.177 0.773 0.000
24 Th 0.323 0.273 0.000
25 Th 0.677 0.727 0.000
26 Th 0.823 0.227 0.000

Results
As for the crystal system: orthorhombic. The total magnetization comes out at 0.0 μB per cell. As for the space group: Pbam. The energy relative to the elements comes out at 2.6 kcal/mol of atoms.